DFT (PBE) results for crystalline TiPbO3 at its relaxed geometry.

Cell lengths 13.416, 13.416, 13.416 Å; angles 165.48, 165.48, 20.59 degrees
Atoms (fractional coordinates):
Ti  0.119  0.119  0.000
Ti  0.881  0.881  0.000
Pb  0.500  0.500  0.000
Pb  0.750  0.250  0.500
O  0.082  0.582  0.500
O  0.141  0.349  0.792
O  0.418  0.918  0.500
O  0.557  0.349  0.208
O  0.651  0.443  0.792
O  0.651  0.859  0.208

Output
formation energy without anion corrections	-1.2975	eV/atom
calculated total energy	-6.5931	eV/atom


DFT (PBE) results for crystalline TiPb3O at its relaxed geometry.

Cell lengths 5.399, 5.399, 5.399 Å; angles 90.00, 90.00, 90.00 degrees
Atoms (fractional coordinates):
Ti  0.000  0.000  0.000
Pb  0.000  0.000  0.500
Pb  0.000  0.500  0.000
Pb  0.500  0.000  0.000
O  0.500  0.500  0.500

Output
formation energy without anion corrections	0.6192	eV/atom
calculated total energy	-4.1765	eV/atom
energy relative to the lowest polymorph listed for this composition	591	meV per atom


DFT (PBE) results for crystalline TiPbO3 at its relaxed geometry.

Cell lengths 6.622, 6.622, 6.622 Å; angles 54.37, 54.37, 54.37 degrees
Atoms (fractional coordinates):
Ti  0.250  0.250  0.250
Ti  0.750  0.750  0.750
Pb  0.000  0.000  0.000
Pb  0.500  0.500  0.500
O  0.045  0.750  0.455
O  0.250  0.545  0.955
O  0.455  0.045  0.750
O  0.545  0.955  0.250
O  0.750  0.455  0.045
O  0.955  0.250  0.545

Output
formation energy without anion corrections	-1.9005	eV/atom
calculated total energy	-7.1960	eV/atom


DFT (PBE) results for crystalline TiPbO3 at its relaxed geometry.

Cell lengths 3.845, 3.845, 4.759 Å; angles 90.00, 90.00, 90.00 degrees
Atoms (fractional coordinates):
Ti  0.000  0.000  0.000
Pb  0.500  0.500  0.558
O  0.000  0.000  0.368
O  0.000  0.500  0.890
O  0.500  0.000  0.890

Output
formation energy without anion corrections	-2.3134	eV/atom
calculated total energy	-7.6090	eV/atom


DFT (PBE) results for crystalline TiPbO3 at its relaxed geometry.

Cell lengths 6.995, 6.995, 6.520 Å; angles 90.00, 90.00, 138.29 degrees
Atoms (fractional coordinates):
Ti  0.126  0.874  0.750
Ti  0.874  0.126  0.250
Pb  0.381  0.619  0.750
Pb  0.619  0.381  0.250
O  0.048  0.465  0.250
O  0.465  0.048  0.750
O  0.500  0.500  0.000
O  0.500  0.500  0.500
O  0.535  0.952  0.250
O  0.952  0.535  0.750

Output
formation energy without anion corrections	-1.1274	eV/atom
calculated total energy	-6.4229	eV/atom


DFT (PBE) results for crystalline TiPbO3 at its relaxed geometry.

Cell lengths 7.311, 7.311, 5.376 Å; angles 90.00, 90.00, 133.78 degrees
Atoms (fractional coordinates):
Ti  0.091  0.909  0.750
Ti  0.909  0.091  0.250
Pb  0.316  0.684  0.750
Pb  0.684  0.316  0.250
O  0.000  0.000  0.000
O  0.000  0.000  0.500
O  0.063  0.421  0.250
O  0.421  0.063  0.750
O  0.579  0.937  0.250
O  0.937  0.579  0.750

Output
formation energy without anion corrections	-2.1564	eV/atom
calculated total energy	-7.4519	eV/atom